Na2YTaTc | PBE | relaxed

Energy of formation from the pure elements: 2.105 eV/atom
SG: P4/mmm
Total DFT energy (no corrections): -4.1590 eV/atom

Cell lengths 5.5350, 5.3323, 5.5350 Å; angles 90.00, 90.00, 90.00 degrees
Last column: nearest neighbours and their distance in Å.
Sites, in units of the cell vectors:
Y: 0.0000 0.5000 0.0000  2 Ta 2.67
Na: 0.0000 0.0000 0.5000  2 Ta 2.77
Na: 0.5000 0.0000 0.0000  2 Ta 2.77
Tc: 0.5000 0.5000 0.5000  8 Na 3.84, 4 Y 3.91
Ta: 0.0000 0.0000 0.0000  2 Y 2.67, 4 Na 2.77